Entry 1:
This record from Alexandria describes LaAl3Ru after structural relaxation. The functional is PBE-GGA.

Calculated values
Energy above the lowest structure with this stoichiometry in meV per atom: 17

Lattice parameters (Å, degrees): 4.723 4.723 4.723 90.00 90.00 90.00
Positions (direct):
La: 0.000 0.000 0.000
Al: 0.000 0.500 0.500
Al: 0.500 0.000 0.500
Al: 0.500 0.500 0.000
Ru: 0.500 0.500 0.500

Entry 2:
This record from Alexandria describes La2Al4Ru after structural relaxation. The functional is PBE-GGA.

Lattice parameters (Å, degrees): 4.672 4.672 15.749 90.00 90.00 90.00
Positions (direct):
La: 0.000 0.000 0.146
La: 0.000 0.000 0.854
La: 0.500 0.500 0.354
La: 0.500 0.500 0.646
Al: 0.000 0.000 0.345
Al: 0.000 0.000 0.655
Al: 0.000 0.500 0.000
Al: 0.000 0.500 0.500
Al: 0.500 0.000 0.000
Al: 0.500 0.000 0.500
Al: 0.500 0.500 0.155
Al: 0.500 0.500 0.845
Ru: 0.000 0.000 0.500
Ru: 0.500 0.500 0.000

Entry 3:
This record from Alexandria describes LaAl11Ru after structural relaxation. The functional is PBE-GGA.

Lattice parameters (Å, degrees): 6.869 6.869 7.247 97.45 97.45 135.18
Positions (direct):
La: 0.000 0.000 0.000
Al: 0.000 0.000 0.500
Al: 0.000 0.500 0.000
Al: 0.016 0.364 0.361
Al: 0.278 0.499 0.769
Al: 0.364 0.016 0.361
Al: 0.499 0.278 0.769
Al: 0.500 0.000 0.000
Al: 0.501 0.722 0.231
Al: 0.636 0.984 0.639
Al: 0.722 0.501 0.231
Al: 0.984 0.636 0.639
Ru: 0.500 0.500 0.500

Number 1: size of the total moment 0.000 μB per atom, DFT formation energy -523 meV/atom. Number 2: size of the total moment 0.000 μB per atom, DFT formation energy -362 meV/atom. Number 3: size of the total moment 0.000 μB per atom, DFT formation energy -299 meV/atom.